No. 1
YCd4: relaxed, PBE-GGA.

The structure in extended XYZ format:
```
10
Lattice="-2.422 3.303 7.437 2.422 -3.303 7.437 2.422 3.303 -7.437" Properties=species:S:1:pos:R:3 pbc="T T T"
Y 0.000 1.652 1.579
Y 2.422 1.652 5.858
Cd 2.422 0.000 0.000
Cd 2.422 -1.652 5.773
Cd 2.422 0.014 2.939
Cd 0.000 0.014 4.498
Cd 0.000 0.000 7.437
Cd 2.422 3.289 2.939
Cd 0.000 3.289 4.498
Cd 0.000 4.955 1.663
```

Properties
Calculated formation energy ... -0.227 eV per atom
Size of the total moment ... 0.00 Bohr magnetons per cell


No. 2
NaInSb: relaxed, PBE-GGA.

The structure in extended XYZ format:
```
6
Lattice="5.452 0.000 0.000 0.000 5.136 0.000 -0.006 0.000 6.942" Properties=species:S:1:pos:R:3 pbc="T T T"
Na 0.000 0.000 0.000
Na 2.717 2.568 4.588
In 0.003 2.568 2.195
In 2.730 0.000 2.394
Sb 0.004 0.000 3.796
Sb 2.730 2.568 0.791
```

Properties
ΔE_f (raw) ... -0.2035 eV per atom
Size of the total moment ... 0.00 Bohr magnetons per cell


No. 3
SrHf2CoSn: relaxed, PBE-GGA.

The structure in extended XYZ format:
```
5
Lattice="4.844 0.000 0.000 0.000 4.844 0.000 0.000 0.000 5.412" Properties=species:S:1:pos:R:3 pbc="T T T"
Sr 0.000 0.000 0.000
Hf 0.000 2.422 2.706
Hf 2.422 0.000 2.706
Co 0.000 0.000 2.706
Sn 2.422 2.422 0.000
```

Properties
Calculated formation energy ... 0.186 eV per atom
Size of the total moment ... 0.00 Bohr magnetons per cell